[1]
Material: Cd3PdC
Method: DFT, GGA-PBE
State: relaxed

abc: 4.530 4.530 4.530
angles: 90.00 90.00 90.00
Positions (direct):
C 0.000 0.000 0.000
Pd 0.500 0.500 0.500
Cd 0.000 0.500 0.000
Cd 0.000 0.000 0.500
Cd 0.500 0.000 0.000

Summary:
total magnetization = 0.00 μB per formula unit

***

[2]
Material: CdPdC3
Method: DFT, GGA-PBE
State: relaxed

abc: 4.101 4.101 4.101
angles: 90.00 90.00 90.00
Positions (direct):
C 0.000 0.500 0.000
C 0.000 0.000 0.500
C 0.500 0.000 0.000
Pd 0.000 0.000 0.000
Cd 0.500 0.500 0.500

Summary:
total magnetization = 0.00 μB per formula unit

***

Q: Which formation energy from the elements values were calculated for the entries above? A: 3.35 12.77, in eV/f.u..
Q: Which ΔE to the lowest computed polymorph values were calculated for the entries above? A: 0 0, in meV/atom.